This record from the Alexandria database describes an optimized crystal structure of PmHo4Al. The functional is PBE-GGA.

Lattice parameters (Å, degrees): 3.5439 3.5439 13.9382 90.00 90.00 90.00
Fractional positions:
Pm1 0.0000 0.0000 0.0000
Ho1 0.5000 0.5000 0.1829
Ho2 0.0000 0.0000 0.6343
Ho3 0.0000 0.0000 0.3657
Ho4 0.5000 0.5000 0.8171
Al1 0.5000 0.5000 0.5000

**Energy above the lowest structure with this stoichiometry**: 0 meV/atom
**Magnetic moment**: 0.0 μB/f.u.
**Crystal system**: tetragonal
**Energy of formation**: -0.119 eV/atom

***

This record from the Alexandria database describes an optimized crystal structure of RbHgPOs. The functional is PBE-GGA.

Lattice parameters (Å, degrees): 4.1039 4.1039 13.0776 90.00 90.00 90.00
Fractional positions:
Rb1 0.7500 0.7500 0.2403
Rb2 0.2500 0.2500 0.7597
Hg1 0.2500 0.7500 0.5000
Hg2 0.7500 0.2500 0.5000
P1 0.7500 0.7500 0.9109
P2 0.2500 0.2500 0.0891
Os1 0.7500 0.2500 0.0000
Os2 0.2500 0.7500 0.0000

**Magnetic moment**: 0.0 μB/f.u.
**Crystal system**: tetragonal
**Energy of formation**: -0.280 eV/atom

***

This record from the Alexandria database describes an optimized crystal structure of Mg4CdPt. The functional is PBE-GGA.

Lattice parameters (Å, degrees): 8.9121 8.9121 8.9121 60.00 60.00 60.00
Fractional positions:
Mg1 0.3945 0.3945 0.3945
Mg2 0.8164 0.3945 0.3945
Mg3 0.3945 0.8164 0.3945
Mg4 0.3945 0.3945 0.8164
Mg5 0.5602 0.5602 0.9398
Mg6 0.9398 0.9398 0.5602
Mg7 0.5602 0.9398 0.5602
Mg8 0.9398 0.5602 0.9398
Mg9 0.9398 0.5602 0.5602
Mg10 0.5602 0.9398 0.9398
Mg11 0.2060 0.2060 0.7940
Mg12 0.7940 0.7940 0.2060
Mg13 0.2060 0.7940 0.2060
Mg14 0.7940 0.2060 0.7940
Mg15 0.7940 0.2060 0.2060
Mg16 0.2060 0.7940 0.7940
Cd1 0.1632 0.1632 0.1632
Cd2 0.5105 0.1632 0.1632
Cd3 0.1632 0.5105 0.1632
Cd4 0.1632 0.1632 0.5105
Pt1 0.6064 0.6064 0.6064
Pt2 0.1807 0.6064 0.6064
Pt3 0.6064 0.1807 0.6064
Pt4 0.6064 0.6064 0.1807

**Energy above the lowest structure with this stoichiometry**: 0 meV/atom
**Magnetic moment**: 0.0 μB/f.u.
**Crystal system**: cubic
**Energy of formation**: -0.409 eV/atom

***

This record from the Alexandria database describes an optimized crystal structure of ZnCrOs2. The functional is PBE-GGA.

Lattice parameters (Å, degrees): 8.8203 8.8203 8.8203 17.65 17.65 17.65
Fractional positions:
Cr1 0.7500 0.7500 0.7500
Os1 0.0048 0.0048 0.0048
Os2 0.4952 0.4952 0.4952
Zn1 0.2500 0.2500 0.2500

**Magnetic moment**: 0.0 μB/f.u.
**Crystal system**: trigonal
**Energy of formation**: 0.089 eV/atom

***

This record from the Alexandria database describes an optimized crystal structure of SmPtPbO6. The functional is PBE-GGA.

Lattice parameters (Å, degrees): 5.6559 5.6559 9.0230 90.00 90.00 120.00
Fractional positions:
Sm1 0.3333 0.6667 0.2500
Sm2 0.6667 0.3333 0.7500
Pt1 0.6667 0.3333 0.2500
Pt2 0.3333 0.6667 0.7500
Pb1 0.0000 0.0000 0.0000
Pb2 0.0000 0.0000 0.5000
O1 0.6702 0.6298 0.1248
O2 0.9595 0.3298 0.1248
O3 0.3298 0.9595 0.6248
O4 0.0405 0.6702 0.8752
O5 0.3702 0.3298 0.3752
O6 0.9595 0.6298 0.3752
O7 0.6298 0.9595 0.8752
O8 0.6702 0.0405 0.3752
O9 0.0405 0.3702 0.6248
O10 0.3702 0.0405 0.1248
O11 0.6298 0.6702 0.6248
O12 0.3298 0.3702 0.8752

**Magnetic moment**: 0.0 μB/f.u.
**Formation energy (no corrections)**: -1.273 eV per atom
**Crystal system**: trigonal

***

This record from the Alexandria database describes an optimized crystal structure of AcY2Pb. The functional is PBE-GGA.

Lattice parameters (Å, degrees): 5.6262 5.6262 5.6267 60.00 60.00 60.00
Fractional positions:
Pb1 0.0000 0.0000 0.0000
Y1 0.7499 0.7499 0.7503
Y2 0.2501 0.2501 0.2497
Ac1 0.5000 0.5000 0.5000

**Energy above the lowest structure with this stoichiometry**: 158 meV/atom
**Magnetic moment**: 0.0 μB/f.u.
**Crystal system**: cubic
**Energy of formation**: -0.071 eV/atom

***

> Number 2 is which compound?

RbHgPOs

***

> What is the formula in the fifth record?

SmPtPbO6